Pd2Rh2Au PBE-GGA optimized geometry; ρ = 12.61 Mg/m³; offset from the most stable computed form = 28 meV/atom; DFT formation energy = 0.31 eV/atom
1.0
7.649 0.000 0.000
0.000 7.649 0.000
0.000 0.000 2.772
Pd Rh Au
4 4 2
direct
0.125 0.375 0.000 Pd
0.375 0.875 0.000 Pd
0.625 0.125 0.000 Pd
0.875 0.625 0.000 Pd
0.172 0.672 0.500 Rh
0.328 0.172 0.500 Rh
0.672 0.828 0.500 Rh
0.828 0.328 0.500 Rh
0.000 0.000 0.000 Au
0.500 0.500 0.000 Au